Entry 1:
# Cd2TcAs meta-GGA SCAN PBEsol geometry
data_Cd2TcAs
_chemical_formula_sum 'Cd2 Tc1 As1'
_space_group_name_H-M_alt 'P m m m'
_space_group_IT_number 47
_cell_length_a 2.9064
_cell_length_b 4.5615
_cell_length_c 5.3001
_cell_angle_alpha 90.00
_cell_angle_beta 90.00
_cell_angle_gamma 90.00
loop_
_space_group_symop_operation_xyz
'x,y,z'
'-x,-y,-z'
'-x,-y,z'
'x,y,-z'
'x,-y,-z'
'-x,y,z'
'-x,y,-z'
'x,-y,z'
loop_
_atom_site_label
_atom_site_fract_x
_atom_site_fract_y
_atom_site_fract_z
Cd1 0.0000 0.0000 0.2445
Tc1 0.5000 0.5000 0.0000
As1 0.5000 0.5000 0.5000
# energy relative to the elements = 0.485 eV/atom
# magnetic moment = 0.00 μB/f.u.

Entry 2:
# CdTc2As meta-GGA SCAN PBEsol geometry
data_CdTc2As
_chemical_formula_sum 'Cd2 Tc4 As2'
_space_group_name_H-M_alt 'I m m 2'
_space_group_IT_number 44
_cell_length_a 3.0470
_cell_length_b 4.3221
_cell_length_c 9.4745
_cell_angle_alpha 90.00
_cell_angle_beta 90.00
_cell_angle_gamma 90.00
loop_
_space_group_symop_operation_xyz
'x,y,z'
'-x,-y,z'
'-x,y,z'
'x,-y,z'
'x+1/2,y+1/2,z+1/2'
'-x+1/2,-y+1/2,z+1/2'
'-x+1/2,y+1/2,z+1/2'
'x+1/2,-y+1/2,z+1/2'
loop_
_atom_site_label
_atom_site_fract_x
_atom_site_fract_y
_atom_site_fract_z
Cd1 0.0000 0.0000 0.0000
Tc1 0.0000 0.0000 0.5340
Tc2 0.0000 0.5000 0.7871
As1 0.0000 0.5000 0.2389
# distance to the lowest polymorph of the same formula = 270 meV/atom
# energy relative to the elements = 0.377 eV/atom
# magnetic moment = 0.00 μB/f.u.

Entry 3:
# CdTc2As meta-GGA SCAN PBEsol geometry
data_CdTc2As
_chemical_formula_sum 'Cd3 Tc6 As3'
_space_group_name_H-M_alt 'R 3 m'
_space_group_IT_number 160
_space_group_name_Hall 'R 3 -2"'
_cell_length_a 2.8571
_cell_length_b 2.8571
_cell_length_c 27.4844
_cell_angle_alpha 90.00
_cell_angle_beta 90.00
_cell_angle_gamma 120.00
loop_
_atom_site_label
_atom_site_fract_x
_atom_site_fract_y
_atom_site_fract_z
Cd1 0.0000 0.0000 0.0000
Tc1 0.0000 0.0000 0.4934
Tc2 0.0000 0.0000 0.7542
As1 0.0000 0.0000 0.2334
# distance to the lowest polymorph of the same formula = 0 meV/atom
# energy relative to the elements = 0.107 eV/atom
# magnetic moment = 0.00 μB/f.u.

Entry 4:
# CdTc2As meta-GGA SCAN PBEsol geometry
data_CdTc2As
_chemical_formula_sum 'Cd2 Tc4 As2'
_space_group_name_H-M_alt 'I -4 m 2'
_space_group_IT_number 119
_space_group_name_Hall 'I -4 -2'
_cell_length_a 3.9406
_cell_length_b 3.9406
_cell_length_c 7.9374
_cell_angle_alpha 90.00
_cell_angle_beta 90.00
_cell_angle_gamma 90.00
loop_
_atom_site_label
_atom_site_fract_x
_atom_site_fract_y
_atom_site_fract_z
Cd1 0.0000 0.0000 0.0000
Tc1 0.0000 0.0000 0.5000
Tc2 0.0000 0.5000 0.2500
As1 0.0000 0.5000 0.7500
# distance to the lowest polymorph of the same formula = 409 meV/atom
# energy relative to the elements = 0.516 eV/atom
# magnetic moment = 0.00 μB/f.u.

Entry 5:
# Cd2TcAs meta-GGA SCAN PBEsol geometry
data_Cd2TcAs
_chemical_formula_sum 'Cd6 Tc3 As3'
_space_group_name_H-M_alt 'R 3 m'
_space_group_IT_number 160
_space_group_name_Hall 'R 3 -2"'
_cell_length_a 3.0389
_cell_length_b 3.0389
_cell_length_c 27.5813
_cell_angle_alpha 90.00
_cell_angle_beta 90.00
_cell_angle_gamma 120.00
loop_
_atom_site_label
_atom_site_fract_x
_atom_site_fract_y
_atom_site_fract_z
Cd1 0.0000 0.0000 0.0000
Cd2 0.0000 0.0000 0.2401
Tc1 0.0000 0.0000 0.7497
As1 0.0000 0.0000 0.4771
# energy relative to the elements = 0.029 eV/atom
# magnetic moment = 0.00 μB/f.u.

Entry 6:
# Cd2TcAs meta-GGA SCAN PBEsol geometry
data_Cd2TcAs
_chemical_formula_sum 'Cd2 Tc1 As1'
_space_group_name_H-M_alt 'P 1 2/m 1'
_space_group_IT_number 10
_cell_length_a 2.8944
_cell_length_b 5.3214
_cell_length_c 4.6180
_cell_angle_alpha 90.00
_cell_angle_beta 94.27
_cell_angle_gamma 90.00
loop_
_space_group_symop_operation_xyz
'x,y,z'
'-x,-y,-z'
'-x,y,-z'
'x,-y,z'
loop_
_atom_site_label
_atom_site_fract_x
_atom_site_fract_y
_atom_site_fract_z
Cd1 0.2426 0.0000 0.2534
Tc1 0.5000 0.5000 0.5000
As1 0.0000 0.5000 0.0000
# energy relative to the elements = 0.462 eV/atom
# magnetic moment = 0.00 μB/f.u.

Entry 7:
# Cd2TeAs meta-GGA SCAN PBEsol geometry
data_Cd2TeAs
_chemical_formula_sum 'Cd2 Te1 As1'
_space_group_name_H-M_alt 'P 4 m m'
_space_group_IT_number 99
_cell_length_a 3.0485
_cell_length_b 3.0485
_cell_length_c 9.9249
_cell_angle_alpha 90.00
_cell_angle_beta 90.00
_cell_angle_gamma 90.00
loop_
_space_group_symop_operation_xyz
'x,y,z'
'-y,x,z'
'-x,-y,z'
'y,-x,z'
'-x,y,z'
'y,x,z'
'x,-y,z'
'-y,-x,z'
loop_
_atom_site_label
_atom_site_fract_x
_atom_site_fract_y
_atom_site_fract_z
Cd1 0.0000 0.0000 0.0000
Cd2 0.5000 0.5000 0.2270
Te1 0.0000 0.0000 0.4994
As1 0.5000 0.5000 0.7945
# distance to the lowest polymorph of the same formula = 238 meV/atom
# ΔE_f (raw) = 22.9 kJ/mol of atoms
# magnetic moment = 0.00 μB/f.u.

Entry 8:
# Cd2TeAs meta-GGA SCAN PBEsol geometry
data_Cd2TeAs
_chemical_formula_sum 'Cd2 Te1 As1'
_space_group_name_H-M_alt 'P 1 2/m 1'
_space_group_IT_number 10
_cell_length_a 2.9784
_cell_length_b 3.9839
_cell_length_c 7.9110
_cell_angle_alpha 90.00
_cell_angle_beta 90.00
_cell_angle_gamma 90.00
loop_
_space_group_symop_operation_xyz
'x,y,z'
'-x,-y,-z'
'-x,y,-z'
'x,-y,z'
loop_
_atom_site_label
_atom_site_fract_x
_atom_site_fract_y
_atom_site_fract_z
Cd1 0.0039 0.0000 0.2875
Te1 0.0000 0.5000 0.0000
As1 0.5000 0.5000 0.5000
# distance to the lowest polymorph of the same formula = 0 meV/atom
# ΔE_f (raw) = -0.1 kJ/mol of atoms
# magnetic moment = 0.00 μB/f.u.

Entry 9:
# Cd2TeAs meta-GGA SCAN PBEsol geometry
data_Cd2TeAs
_chemical_formula_sum 'Cd8 Te4 As4'
_space_group_name_H-M_alt 'F m -3 m'
_space_group_IT_number 225
_space_group_name_Hall '-F 4 2 3'
_cell_length_a 7.1361
_cell_length_b 7.1361
_cell_length_c 7.1361
_cell_angle_alpha 90.00
_cell_angle_beta 90.00
_cell_angle_gamma 90.00
loop_
_atom_site_label
_atom_site_fract_x
_atom_site_fract_y
_atom_site_fract_z
Cd1 0.2500 0.2500 0.2500
Te1 0.0000 0.0000 0.0000
As1 0.0000 0.0000 0.5000
# distance to the lowest polymorph of the same formula = 273 meV/atom
# ΔE_f (raw) = 26.3 kJ/mol of atoms
# magnetic moment = 0.00 μB/f.u.

Entry 10:
# Cd2TeAs meta-GGA SCAN PBEsol geometry
data_Cd2TeAs
_chemical_formula_sum 'Cd4 Te2 As2'
_space_group_name_H-M_alt 'I m m m'
_space_group_IT_number 71
_space_group_name_Hall '-I 2 2'
_cell_length_a 4.0970
_cell_length_b 5.5857
_cell_length_c 8.2406
_cell_angle_alpha 90.00
_cell_angle_beta 90.00
_cell_angle_gamma 90.00
loop_
_atom_site_label
_atom_site_fract_x
_atom_site_fract_y
_atom_site_fract_z
Cd1 0.0000 0.0000 0.2314
Te1 0.0000 0.5000 0.0000
As1 0.0000 0.5000 0.5000
# distance to the lowest polymorph of the same formula = 174 meV/atom
# ΔE_f (raw) = 16.7 kJ/mol of atoms
# magnetic moment = 0.00 μB/f.u.

Entry 11:
# Cd2TeAs meta-GGA SCAN PBEsol geometry
data_Cd2TeAs
_chemical_formula_sum 'Cd2 Te1 As1'
_space_group_name_H-M_alt 'P 4/m m m'
_space_group_IT_number 123
_space_group_name_Hall '-P 4 2'
_cell_length_a 3.3313
_cell_length_b 3.3313
_cell_length_c 8.2597
_cell_angle_alpha 90.00
_cell_angle_beta 90.00
_cell_angle_gamma 90.00
loop_
_atom_site_label
_atom_site_fract_x
_atom_site_fract_y
_atom_site_fract_z
Cd1 0.0000 0.0000 0.2190
Te1 0.5000 0.5000 0.5000
As1 0.5000 0.5000 0.0000
# distance to the lowest polymorph of the same formula = 206 meV/atom
# ΔE_f (raw) = 19.8 kJ/mol of atoms
# magnetic moment = 0.00 μB/f.u.

Entry 12:
# Cd2TeAs meta-GGA SCAN PBEsol geometry
data_Cd2TeAs
_chemical_formula_sum 'Cd6 Te3 As3'
_space_group_name_H-M_alt 'R -3 m'
_space_group_IT_number 166
_space_group_name_Hall '-R 3 2"'
_cell_length_a 3.1122
_cell_length_b 3.1122
_cell_length_c 32.8362
_cell_angle_alpha 90.00
_cell_angle_beta 90.00
_cell_angle_gamma 120.00
loop_
_atom_site_label
_atom_site_fract_x
_atom_site_fract_y
_atom_site_fract_z
Cd1 0.0000 0.0000 0.2429
Te1 0.0000 0.0000 0.0000
As1 0.0000 0.0000 0.5000
# distance to the lowest polymorph of the same formula = 271 meV/atom
# ΔE_f (raw) = 26.1 kJ/mol of atoms
# magnetic moment = 0.00 μB/f.u.

Entry 13:
# Cd2TeAs meta-GGA SCAN PBEsol geometry
data_Cd2TeAs
_chemical_formula_sum 'Cd2 Te1 As1'
_space_group_name_H-M_alt 'P 4/m m m'
_space_group_IT_number 123
_space_group_name_Hall '-P 4 2'
_cell_length_a 4.8478
_cell_length_b 4.8478
_cell_length_c 3.8855
_cell_angle_alpha 90.00
_cell_angle_beta 90.00
_cell_angle_gamma 90.00
loop_
_atom_site_label
_atom_site_fract_x
_atom_site_fract_y
_atom_site_fract_z
Cd1 0.0000 0.5000 0.0000
Te1 0.0000 0.0000 0.5000
As1 0.5000 0.5000 0.5000
# distance to the lowest polymorph of the same formula = 255 meV/atom
# ΔE_f (raw) = 24.5 kJ/mol of atoms
# magnetic moment = 0.00 μB/f.u.

Entry 14:
# CdTeAs meta-GGA SCAN PBEsol geometry
data_CdTeAs
_chemical_formula_sum 'Cd4 Te4 As4'
_space_group_name_H-M_alt 'F -4 3 m'
_space_group_IT_number 216
_space_group_name_Hall 'F -4 2 3'
_cell_length_a 6.8063
_cell_length_b 6.8063
_cell_length_c 6.8063
_cell_angle_alpha 90.00
_cell_angle_beta 90.00
_cell_angle_gamma 90.00
loop_
_atom_site_label
_atom_site_fract_x
_atom_site_fract_y
_atom_site_fract_z
Cd1 0.0000 0.0000 0.0000
Te1 0.2500 0.2500 0.2500
As1 0.2500 0.2500 0.7500
# ΔE_f (raw) = 28.6 kJ/mol of atoms
# magnetic moment = 0.00 μB/f.u.

Entry 15:
# Cd2TeAs meta-GGA SCAN PBEsol geometry
data_Cd2TeAs
_chemical_formula_sum 'Cd4 Te2 As2'
_space_group_name_H-M_alt 'C 1 2/m 1'
_space_group_IT_number 12
_cell_length_a 5.8810
_cell_length_b 8.1830
_cell_length_c 4.4383
_cell_angle_alpha 90.00
_cell_angle_beta 115.20
_cell_angle_gamma 90.00
loop_
_space_group_symop_operation_xyz
'x,y,z'
'-x,-y,-z'
'-x,y,-z'
'x,-y,z'
'x+1/2,y+1/2,z'
'-x+1/2,-y+1/2,-z'
'-x+1/2,y+1/2,-z'
'x+1/2,-y+1/2,z'
loop_
_atom_site_label
_atom_site_fract_x
_atom_site_fract_y
_atom_site_fract_z
Cd1 0.2500 0.2500 0.0000
Te1 0.0000 0.0000 0.5000
As1 0.0000 0.5000 0.5000
# distance to the lowest polymorph of the same formula = 33 meV/atom
# ΔE_f (raw) = 3.1 kJ/mol of atoms
# magnetic moment = 0.00 μB/f.u.

Entry 16:
# Cd2TeAs meta-GGA SCAN PBEsol geometry
data_Cd2TeAs
_chemical_formula_sum 'Cd8 Te4 As4'
_space_group_name_H-M_alt 'F -4 3 m'
_space_group_IT_number 216
_space_group_name_Hall 'F -4 2 3'
_cell_length_a 7.1425
_cell_length_b 7.1425
_cell_length_c 7.1425
_cell_angle_alpha 90.00
_cell_angle_beta 90.00
_cell_angle_gamma 90.00
loop_
_atom_site_label
_atom_site_fract_x
_atom_site_fract_y
_atom_site_fract_z
Cd1 0.0000 0.0000 0.0000
Cd2 0.2500 0.2500 0.2500
Te1 0.0000 0.0000 0.5000
As1 0.2500 0.2500 0.7500
# distance to the lowest polymorph of the same formula = 280 meV/atom
# ΔE_f (raw) = 26.9 kJ/mol of atoms
# magnetic moment = 0.00 μB/f.u.

no.,calculated volume (Å³ per atom)
1,17.57
2,15.60
3,16.19
4,15.41
5,18.38
6,17.73
7,23.06
8,23.47
9,22.71
10,23.57
11,22.92
12,22.95
13,22.83
14,26.28
15,24.16
16,22.77